## A
The following is a GGA-PBE calculation of an optimized crystal structure of YMg2Re, from Alexandria via LeMat-Bulk.

Output
As for the symmetry: Pmmm (47). Its size of the total moment is 0.00 Bohr magnetons per cell.

a b c (Å): 2.901 4.567 6.031
angles (deg): 90.00 90.00 90.00
Atoms (fractional coordinates):
Y1 0.000 0.000 0.000
Mg1 0.500 0.500 0.282
Mg2 0.500 0.500 0.718
Re1 0.000 0.000 0.500

=====

## B
The following is a GGA-PBE calculation of an optimized crystal structure of YMg2Re, from Alexandria via LeMat-Bulk.

Output
As for the symmetry: Pm (6). Its size of the total moment is 0.00 Bohr magnetons per cell.

a b c (Å): 2.984 4.643 6.223
angles (deg): 90.00 103.18 90.00
Atoms (fractional coordinates):
Y1 0.000 0.000 0.000
Mg1 0.313 0.000 0.536
Mg2 0.693 0.500 0.341
Re1 0.384 0.500 0.786

=====

## C
The following is a GGA-PBE calculation of an optimized crystal structure of YMg2Re, from Alexandria via LeMat-Bulk.

Output
As for the symmetry: Cmmm (65). Its size of the total moment is 0.00 Bohr magnetons per cell.

a b c (Å): 5.866 9.165 2.990
angles (deg): 90.00 90.00 90.00
Atoms (fractional coordinates):
Y1 0.000 0.000 0.000
Y2 0.500 0.500 0.000
Mg1 0.250 0.250 0.500
Mg2 0.250 0.750 0.500
Mg3 0.750 0.250 0.500
Mg4 0.750 0.750 0.500
Re1 0.000 0.500 0.000
Re2 0.500 0.000 0.000

=====

Stability summary - winner: A; margin: 1.3 kJ/mol of atoms.

=====

## A
The following is a GGA-PBE calculation of an optimized crystal structure of YMg2Re, from Alexandria via LeMat-Bulk.

Output
As for the symmetry: I-42d (122). Its size of the total moment is 0.00 Bohr magnetons per cell.

a b c (Å): 4.156 4.156 20.845
angles (deg): 90.00 90.00 90.00
Atoms (fractional coordinates):
Y1 0.000 0.000 0.000
Y2 0.000 0.500 0.250
Y3 0.500 0.000 0.750
Y4 0.500 0.500 0.500
Mg1 0.212 0.250 0.625
Mg2 0.250 0.712 0.875
Mg3 0.250 0.788 0.375
Mg4 0.288 0.250 0.125
Mg5 0.712 0.750 0.125
Mg6 0.750 0.212 0.375
Mg7 0.750 0.288 0.875
Mg8 0.788 0.750 0.625
Re1 0.000 0.000 0.500
Re2 0.000 0.500 0.750
Re3 0.500 0.000 0.250
Re4 0.500 0.500 0.000

=====

## B
The following is a GGA-PBE calculation of an optimized crystal structure of YMg2Re, from Alexandria via LeMat-Bulk.

Output
As for the symmetry: Fm-3m (225). Its size of the total moment is 0.00 Bohr magnetons per cell.

a b c (Å): 6.821 6.821 6.821
angles (deg): 90.00 90.00 90.00
Atoms (fractional coordinates):
Y1 0.000 0.000 0.000
Y2 0.000 0.500 0.500
Y3 0.500 0.000 0.500
Y4 0.500 0.500 0.000
Mg1 0.250 0.250 0.250
Mg2 0.250 0.250 0.750
Mg3 0.250 0.750 0.250
Mg4 0.250 0.750 0.750
Mg5 0.750 0.250 0.250
Mg6 0.750 0.250 0.750
Mg7 0.750 0.750 0.250
Mg8 0.750 0.750 0.750
Re1 0.000 0.000 0.500
Re2 0.000 0.500 0.000
Re3 0.500 0.000 0.000
Re4 0.500 0.500 0.500

=====

## C
The following is a GGA-PBE calculation of an optimized crystal structure of YMg2Re, from Alexandria via LeMat-Bulk.

Output
As for the symmetry: P2/m (10). Its size of the total moment is 0.00 Bohr magnetons per cell.

a b c (Å): 2.915 4.880 5.871
angles (deg): 90.00 104.07 90.00
Atoms (fractional coordinates):
Y1 0.000 0.000 0.000
Mg1 0.310 0.500 0.718
Mg2 0.690 0.500 0.282
Re1 0.500 0.000 0.500

=====

## D
The following is a GGA-PBE calculation of an optimized crystal structure of YMg2Re, from Alexandria via LeMat-Bulk.

Output
As for the symmetry: P4/mmm (123). Its size of the total moment is 0.23 Bohr magnetons per cell.

a b c (Å): 2.906 2.906 9.740
angles (deg): 90.00 90.00 90.00
Atoms (fractional coordinates):
Y1 0.000 0.000 0.000
Mg1 0.500 0.500 0.288
Mg2 0.500 0.500 0.712
Re1 0.000 0.000 0.500

=====

Stability summary - winner: C; margin: 9.2 kJ/mol of atoms.